[1]
PBE SeBr, optimized geometry; raw total energy = -2.248 eV/atom; ΔE_f (raw) = 0.330 eV/atom; calculated density = 3.85 Mg/m³; space-group type = No. 59
1.0
8.447 0.000 0.000
0.000 12.093 0.000
0.000 0.000 4.022
Se Br
6 6
direct
0.250 0.089 0.165 Se
0.250 0.411 0.165 Se
0.250 0.750 0.287 Se
0.750 0.250 0.713 Se
0.750 0.589 0.835 Se
0.750 0.911 0.835 Se
0.250 0.250 0.798 Br
0.250 0.590 0.668 Br
0.250 0.910 0.668 Br
0.750 0.090 0.332 Br
0.750 0.410 0.332 Br
0.750 0.750 0.202 Br

---

[2]
PBE CdSbRu2, optimized geometry; raw total energy = -5.549 eV/atom; ΔE_f (raw) = 0.348 eV/atom; calculated density = 10.36 Mg/m³; space-group type = No. 25
1.0
3.116 0.000 0.000
0.000 4.814 0.000
0.000 0.000 4.663
Cd Sb Ru
1 1 2
direct
0.000 0.000 0.000 Cd
0.500 0.500 0.229 Sb
0.000 0.500 0.701 Ru
0.500 0.000 0.510 Ru

---

[3]
PBE Tl2CrW, optimized geometry; raw total energy = -6.200 eV/atom; calculated density = 12.77 Mg/m³; space-group type = No. 99; calculated formation energy = 0.627 eV per atom; relative energy among the computed polymorphs = 26.2 meV per atom
1.0
3.132 0.000 0.000
0.000 3.132 0.000
0.000 0.000 8.550
Tl Cr W
2 1 1
direct
0.000 0.000 0.000 Tl
0.500 0.500 0.340 Tl
0.500 0.500 0.744 Cr
0.000 0.000 0.608 W

---

[4]
PBE TmSb3Se6, optimized geometry; raw total energy = -4.231 eV/atom; ΔE_f (raw) = -0.457 eV/atom; calculated density = 5.70 Mg/m³; space-group type = No. 65; relative energy among the computed polymorphs = 190.0 meV per atom
1.0
5.106 -7.072 0.000
5.106 7.072 0.000
0.000 0.000 4.063
Tm Sb Se
1 3 6
direct
0.000 0.000 0.000 Tm
0.000 0.500 0.500 Sb
0.500 0.000 0.500 Sb
0.500 0.500 0.000 Sb
0.148 0.852 0.500 Se
0.164 0.389 0.000 Se
0.389 0.164 0.000 Se
0.611 0.836 0.000 Se
0.836 0.611 0.000 Se
0.852 0.148 0.500 Se

---

[5]
PBE YZn4Ni, optimized geometry; raw total energy = -3.207 eV/atom; calculated density = 6.74 Mg/m³; space-group type = No. 51; calculated formation energy = -0.316 eV per atom; relative energy among the computed polymorphs = 0.0 meV per atom
1.0
7.619 0.000 0.000
0.000 3.913 0.000
0.000 0.000 6.760
Y Zn Ni
2 8 2
direct
0.250 0.000 0.110 Y
0.750 0.000 0.890 Y
0.000 0.000 0.500 Zn
0.058 0.500 0.805 Zn
0.250 0.500 0.454 Zn
0.442 0.500 0.805 Zn
0.500 0.000 0.500 Zn
0.558 0.500 0.195 Zn
0.750 0.500 0.546 Zn
0.942 0.500 0.195 Zn
0.250 0.000 0.708 Ni
0.750 0.000 0.292 Ni

---

[6]
PBE Ba3Pb2, optimized geometry; raw total energy = -3.056 eV/atom; calculated density = 5.80 Mg/m³; space-group type = No. 164; calculated formation energy = -0.419 eV per atom
1.0
6.086 0.000 0.000
-3.043 5.271 0.000
0.000 0.000 7.377
Ba Pb
3 2
direct
0.000 0.000 0.000 Ba
0.333 0.667 0.318 Ba
0.667 0.333 0.682 Ba
0.333 0.667 0.818 Pb
0.667 0.333 0.182 Pb

---

[7]
PBE BaSO3, optimized geometry; raw total energy = -3.707 eV/atom; ΔE_f (raw) = 0.478 eV/atom; calculated density = 3.34 Mg/m³; space-group type = No. 221
1.0
4.764 0.000 0.000
0.000 4.764 0.000
0.000 0.000 4.764
Ba S O
1 1 3
direct
0.000 0.000 0.000 Ba
0.500 0.500 0.500 S
0.000 0.000 0.500 O
0.000 0.500 0.000 O
0.500 0.000 0.000 O

---

[8]
PBE LiPuRhO5, optimized geometry; raw total energy = -7.739 eV/atom; ΔE_f (raw) = -1.690 eV/atom; calculated density = 6.27 Mg/m³; space-group type = No. 15
1.0
3.182 -4.803 0.000
3.182 4.803 0.000
-2.699 0.000 7.522
Li Pu Rh O
2 2 2 10
direct
0.053 0.947 0.750 Li
0.947 0.053 0.250 Li
0.000 0.500 0.000 Pu
0.500 0.000 0.500 Pu
0.453 0.547 0.750 Rh
0.547 0.453 0.250 Rh
0.163 0.800 0.935 O
0.199 0.330 0.841 O
0.200 0.837 0.565 O
0.330 0.199 0.341 O
0.343 0.657 0.250 O
0.657 0.343 0.750 O
0.670 0.801 0.659 O
0.800 0.163 0.435 O
0.801 0.670 0.159 O
0.837 0.200 0.065 O

---

Question: What is the raw total energy in the fifth record?
Answer: -3.207 eV/atom

---

Question: Which value of raw total energy does entry 4 give?
Answer: -4.231 eV/atom

---

Question: raw total energy of number 7 (BaSO3)?
Answer: -3.707 eV/atom